[1]
This record from Alexandria describes a geometry-optimized Ca2MgAg3 structure. The functional is PBEsol.

```
data_Ca2MgAg3
_chemical_formula_sum 'Ca4 Mg2 Ag6'
_space_group_name_H-M_alt 'P 63/m m c'
_space_group_IT_number 194
_space_group_name_Hall '-P 6c 2c'
_cell_length_a 5.8308
_cell_length_b 5.8308
_cell_length_c 8.9721
_cell_angle_alpha 90.00
_cell_angle_beta 90.00
_cell_angle_gamma 120.00
loop_
_atom_site_label
_atom_site_type_symbol
_atom_site_fract_x
_atom_site_fract_y
_atom_site_fract_z
_atom_site_occupancy
Ca1 Ca 0.3333 0.6667 0.0610 1
Mg1 Mg 0.0000 0.0000 0.0000 1
Ag1 Ag 0.1698 0.3397 0.7500 1
```

## Properties
* total DFT energy (no corrections): -2.93 eV/atom
* total moment: 0.00 Bohr magnetons per cell
* energy of formation from the pure elements: -0.273 eV per atom


[2]
This record from Alexandria describes a geometry-optimized CrB3Ru structure. The functional is PBEsol.

```
data_CrB3Ru
_chemical_formula_sum 'Cr1 B3 Ru1'
_space_group_name_H-M_alt 'P m -3 m'
_space_group_IT_number 221
_space_group_name_Hall '-P 4 2 3'
_cell_length_a 3.967
_cell_length_b 3.967
_cell_length_c 3.967
_cell_angle_alpha 90.00
_cell_angle_beta 90.00
_cell_angle_gamma 90.00
loop_
_atom_site_label
_atom_site_type_symbol
_atom_site_fract_x
_atom_site_fract_y
_atom_site_fract_z
_atom_site_occupancy
Cr1 Cr 0.000 0.000 0.000 1
B1 B 0.000 0.500 0.500 1
Ru1 Ru 0.500 0.500 0.500 1
```

## Properties
* total DFT energy (no corrections): -7.16 eV/atom
* total moment: 4.09 Bohr magnetons per cell
* energy of formation from the pure elements: 1.129 eV per atom


[3]
This record from Alexandria describes a geometry-optimized ZnPb4 structure. The functional is PBEsol.

```
data_ZnPb4
_chemical_formula_sum 'Zn2 Pb8'
_space_group_name_H-M_alt 'I 4/m'
_space_group_IT_number 87
_space_group_name_Hall '-I 4'
_cell_length_a 8.763
_cell_length_b 8.763
_cell_length_c 3.484
_cell_angle_alpha 90.00
_cell_angle_beta 90.00
_cell_angle_gamma 90.00
loop_
_atom_site_label
_atom_site_type_symbol
_atom_site_fract_x
_atom_site_fract_y
_atom_site_fract_z
_atom_site_occupancy
Zn1 Zn 0.000 0.000 0.000 1
Pb1 Pb 0.076 0.727 0.500 1
```

## Properties
* total DFT energy (no corrections): -3.43 eV/atom
* total moment: 0.00 Bohr magnetons per cell
* energy of formation from the pure elements: 0.085 eV per atom


[4]
This record from Alexandria describes a geometry-optimized FeAgOs2 structure. The functional is PBEsol.

```
data_FeAgOs2
_chemical_formula_sum 'Fe4 Ag4 Os8'
_space_group_name_H-M_alt 'F -4 3 m'
_space_group_IT_number 216
_space_group_name_Hall 'F -4 2 3'
_cell_length_a 6.094
_cell_length_b 6.094
_cell_length_c 6.094
_cell_angle_alpha 90.00
_cell_angle_beta 90.00
_cell_angle_gamma 90.00
loop_
_atom_site_label
_atom_site_type_symbol
_atom_site_fract_x
_atom_site_fract_y
_atom_site_fract_z
_atom_site_occupancy
Fe1 Fe 0.000 0.000 0.000 1
Ag1 Ag 0.250 0.250 0.250 1
Os1 Os 0.000 0.000 0.500 1
Os2 Os 0.250 0.250 0.750 1
```

## Properties
* total DFT energy (no corrections): -8.45 eV/atom
* total moment: 12.93 Bohr magnetons per cell
* energy of formation from the pure elements: 0.723 eV per atom


[5]
This record from Alexandria describes a geometry-optimized PuGa2Pt structure. The functional is PBEsol.

```
data_PuGa2Pt
_chemical_formula_sum 'Pu4 Ga8 Pt4'
_space_group_name_H-M_alt 'C m c m'
_space_group_IT_number 63
_space_group_name_Hall '-C 2c 2'
_cell_length_a 4.405
_cell_length_b 9.914
_cell_length_c 6.594
_cell_angle_alpha 90.00
_cell_angle_beta 90.00
_cell_angle_gamma 90.00
loop_
_atom_site_label
_atom_site_type_symbol
_atom_site_fract_x
_atom_site_fract_y
_atom_site_fract_z
_atom_site_occupancy
Pu1 Pu 0.000 0.089 0.250 1
Ga1 Ga 0.000 0.372 0.053 1
Pt1 Pt 0.000 0.201 0.750 1
```

## Properties
* total DFT energy (no corrections): -7.73 eV/atom
* total moment: 20.48 Bohr magnetons per cell
* energy of formation from the pure elements: -0.531 eV per atom


[6]
This record from Alexandria describes a geometry-optimized SiSbTe2 structure. The functional is PBEsol.

```
data_SiSbTe2
_chemical_formula_sum 'Si2 Sb2 Te4'
_space_group_name_H-M_alt 'I -4 m 2'
_space_group_IT_number 119
_space_group_name_Hall 'I -4 -2'
_cell_length_a 4.301
_cell_length_b 4.301
_cell_length_c 10.785
_cell_angle_alpha 90.00
_cell_angle_beta 90.00
_cell_angle_gamma 90.00
loop_
_atom_site_label
_atom_site_type_symbol
_atom_site_fract_x
_atom_site_fract_y
_atom_site_fract_z
_atom_site_occupancy
Si1 Si 0.000 0.000 0.000 1
Sb1 Sb 0.000 0.500 0.750 1
Te1 Te 0.000 0.000 0.500 1
Te2 Te 0.000 0.500 0.250 1
```

## Properties
* total DFT energy (no corrections): -3.92 eV/atom
* total moment: 0.00 Bohr magnetons per cell


[7]
This record from Alexandria describes a geometry-optimized BaSm2ZnO5 structure. The functional is PBEsol.

```
data_BaSm2ZnO5
_chemical_formula_sum 'Ba4 Sm8 Zn4 O20'
_space_group_name_H-M_alt 'P n m a'
_space_group_IT_number 62
_cell_length_a 12.497
_cell_length_b 5.778
_cell_length_c 7.167
_cell_angle_alpha 90.00
_cell_angle_beta 90.00
_cell_angle_gamma 90.00
loop_
_space_group_symop_operation_xyz
'x,y,z'
'-x,-y,-z'
'-x+1/2,-y,z+1/2'
'x+1/2,y,-z+1/2'
'x+1/2,-y+1/2,-z+1/2'
'-x+1/2,y+1/2,z+1/2'
'-x,y+1/2,-z'
'x,-y+1/2,z'
loop_
_atom_site_label
_atom_site_type_symbol
_atom_site_fract_x
_atom_site_fract_y
_atom_site_fract_z
_atom_site_occupancy
Ba1 Ba 0.099 0.250 0.077 1
Sm1 Sm 0.075 0.750 0.399 1
Sm2 Sm 0.207 0.250 0.619 1
Zn1 Zn 0.151 0.750 0.809 1
O1 O 0.065 0.506 0.669 1
O2 O 0.099 0.750 0.070 1
O3 O 0.224 0.004 0.354 1
```

## Properties
* total DFT energy (no corrections): -7.32 eV/atom
* total moment: 0.00 Bohr magnetons per cell


[8]
This record from Alexandria describes a geometry-optimized SmEr3S6 structure. The functional is PBEsol.

```
data_SmEr3S6
_chemical_formula_sum 'Sm2 Er6 S12'
_space_group_name_H-M_alt 'P 1 21/m 1'
_space_group_IT_number 11
_cell_length_a 10.823
_cell_length_b 3.883
_cell_length_c 11.120
_cell_angle_alpha 90.00
_cell_angle_beta 108.85
_cell_angle_gamma 90.00
loop_
_space_group_symop_operation_xyz
'x,y,z'
'-x,-y,-z'
'-x,y+1/2,-z'
'x,-y+1/2,z'
loop_
_atom_site_label
_atom_site_type_symbol
_atom_site_fract_x
_atom_site_fract_y
_atom_site_fract_z
_atom_site_occupancy
Sm1 Sm 0.048 0.250 0.194 1
Er1 Er 0.160 0.250 0.585 1
Er2 Er 0.319 0.750 0.998 1
Er3 Er 0.438 0.250 0.332 1
S1 S 0.083 0.750 0.404 1
S2 S 0.117 0.250 0.964 1
S3 S 0.195 0.750 0.749 1
S4 S 0.260 0.750 0.226 1
S5 S 0.395 0.250 0.559 1
S6 S 0.481 0.250 0.113 1
```

## Properties
* total DFT energy (no corrections): -6.75 eV/atom
* total moment: 0.00 Bohr magnetons per cell


[9]
This record from Alexandria describes a geometry-optimized HoCoC structure. The functional is PBEsol.

```
data_HoCoC
_chemical_formula_sum 'Ho2 Co2 C2'
_space_group_name_H-M_alt 'P 42/m m c'
_space_group_IT_number 131
_space_group_name_Hall '-P 4c 2'
_cell_length_a 3.573
_cell_length_b 3.573
_cell_length_c 6.752
_cell_angle_alpha 90.00
_cell_angle_beta 90.00
_cell_angle_gamma 90.00
loop_
_atom_site_label
_atom_site_type_symbol
_atom_site_fract_x
_atom_site_fract_y
_atom_site_fract_z
_atom_site_occupancy
Ho1 Ho 0.000 0.000 0.250 1
Co1 Co 0.500 0.500 0.000 1
C1 C 0.000 0.500 0.000 1
```

## Properties
* total DFT energy (no corrections): -7.81 eV/atom
* total moment: 0.61 Bohr magnetons per cell
* energy of formation from the pure elements: -0.366 eV per atom


[10]
This record from Alexandria describes a geometry-optimized HgMoOs2 structure. The functional is PBEsol.

```
data_HgMoOs2
_chemical_formula_sum 'Hg1 Mo1 Os2'
_space_group_name_H-M_alt 'P 1 2/m 1'
_space_group_IT_number 10
_cell_length_a 2.723
_cell_length_b 4.600
_cell_length_c 5.034
_cell_angle_alpha 90.00
_cell_angle_beta 90.67
_cell_angle_gamma 90.00
loop_
_space_group_symop_operation_xyz
'x,y,z'
'-x,-y,-z'
'-x,y,-z'
'x,-y,z'
loop_
_atom_site_label
_atom_site_type_symbol
_atom_site_fract_x
_atom_site_fract_y
_atom_site_fract_z
_atom_site_occupancy
Hg1 Hg 0.000 0.000 0.000 1
Mo1 Mo 0.500 0.000 0.500 1
Os1 Os 0.221 0.500 0.732 1
```

## Properties
* total DFT energy (no corrections): -8.45 eV/atom
* total moment: 0.00 Bohr magnetons per cell
* energy of formation from the pure elements: 0.741 eV per atom


[11]
This record from Alexandria describes a geometry-optimized Li3Tm3Te2O12 structure. The functional is PBEsol.

```
data_Li3Tm3Te2O12
_chemical_formula_sum 'Li24 Tm24 Te16 O96'
_space_group_name_H-M_alt 'I a -3 d'
_space_group_IT_number 230
_space_group_name_Hall '-I 4bd 2c 3'
_cell_length_a 12.135
_cell_length_b 12.135
_cell_length_c 12.135
_cell_angle_alpha 90.00
_cell_angle_beta 90.00
_cell_angle_gamma 90.00
loop_
_atom_site_label
_atom_site_type_symbol
_atom_site_fract_x
_atom_site_fract_y
_atom_site_fract_z
_atom_site_occupancy
Li1 Li 0.000 0.250 0.375 1
Tm1 Tm 0.000 0.250 0.125 1
Te1 Te 0.000 0.000 0.000 1
O1 O 0.026 0.055 0.648 1
```

## Properties
* total DFT energy (no corrections): -6.95 eV/atom
* total moment: 0.00 Bohr magnetons per cell


[12]
This record from Alexandria describes a geometry-optimized K2SrRu structure. The functional is PBEsol.

```
data_K2SrRu
_chemical_formula_sum 'K2 Sr1 Ru1'
_space_group_name_H-M_alt 'P 4/m m m'
_space_group_IT_number 123
_space_group_name_Hall '-P 4 2'
_cell_length_a 3.416
_cell_length_b 3.416
_cell_length_c 12.289
_cell_angle_alpha 90.00
_cell_angle_beta 90.00
_cell_angle_gamma 90.00
loop_
_atom_site_label
_atom_site_type_symbol
_atom_site_fract_x
_atom_site_fract_y
_atom_site_fract_z
_atom_site_occupancy
K1 K 0.000 0.000 0.186 1
Sr1 Sr 0.500 0.500 0.500 1
Ru1 Ru 0.500 0.500 0.000 1
```

## Properties
* total DFT energy (no corrections): -2.41 eV/atom
* total moment: 2.22 Bohr magnetons per cell
* energy of formation from the pure elements: 1.162 eV per atom